1.
# meta-GGA SCAN Ba2CuIr, single point on PBEsol structure
data_Ba2CuIr
_chemical_formula_sum 'Ba2 Cu1 Ir1'
_space_group_name_H-M_alt 'P 1'
_space_group_IT_number 1
_cell_length_a 4.534
_cell_length_b 5.965
_cell_length_c 5.965
_cell_angle_alpha 45.40
_cell_angle_beta 90.00
_cell_angle_gamma 90.00
loop_
_space_group_symop_operation_xyz
'x,y,z'
loop_
_atom_site_label
_atom_site_type_symbol
_atom_site_fract_x
_atom_site_fract_y
_atom_site_fract_z
_atom_site_occupancy
Ba1 Ba 0.000 0.000 0.000 1
Ba2 Ba 0.500 0.289 0.289 1
Cu1 Cu 0.000 0.689 0.689 1
Ir1 Ir 0.500 0.600 0.600 1
# DFT formation energy (eV per atom): -0.1041
# Polymorph energy (0 for the lowest one) (meV per atom): 0
# Fermi-level density of states (states/eV/cell): 1.9

2.
# meta-GGA SCAN KBaCu2, single point on PBEsol structure
data_KBaCu2
_chemical_formula_sum 'K1 Ba1 Cu2'
_space_group_name_H-M_alt 'P 1'
_space_group_IT_number 1
_cell_length_a 5.393
_cell_length_b 5.393
_cell_length_c 3.854
_cell_angle_alpha 90.00
_cell_angle_beta 90.00
_cell_angle_gamma 90.00
loop_
_space_group_symop_operation_xyz
'x,y,z'
loop_
_atom_site_label
_atom_site_type_symbol
_atom_site_fract_x
_atom_site_fract_y
_atom_site_fract_z
_atom_site_occupancy
K1 K 0.000 0.000 0.000 1
Ba1 Ba 0.500 0.500 0.000 1
Cu1 Cu 0.000 0.500 0.500 1
Cu2 Cu 0.500 0.000 0.500 1
# DFT formation energy (eV per atom): 0.3527
# Polymorph energy (0 for the lowest one) (meV per atom): 15
# Fermi-level density of states (states/eV/cell): 2.1

3.
# meta-GGA SCAN KBa2Cu, single point on PBEsol structure
data_KBa2Cu
_chemical_formula_sum 'K1 Ba2 Cu1'
_space_group_name_H-M_alt 'P 1'
_space_group_IT_number 1
_cell_length_a 3.961
_cell_length_b 3.961
_cell_length_c 11.112
_cell_angle_alpha 90.00
_cell_angle_beta 90.16
_cell_angle_gamma 90.00
loop_
_space_group_symop_operation_xyz
'x,y,z'
loop_
_atom_site_label
_atom_site_type_symbol
_atom_site_fract_x
_atom_site_fract_y
_atom_site_fract_z
_atom_site_occupancy
K1 K 0.000 0.000 0.000 1
Ba1 Ba 0.498 0.500 0.336 1
Ba2 Ba 0.502 0.500 0.664 1
Cu1 Cu 0.000 0.000 0.500 1
# DFT formation energy (eV per atom): 0.0697
# Polymorph energy (0 for the lowest one) (meV per atom): 5
# Fermi-level density of states (states/eV/cell): 3.8

4.
# meta-GGA SCAN KBa2Cu2, single point on PBEsol structure
data_KBa2Cu2
_chemical_formula_sum 'K1 Ba2 Cu2'
_space_group_name_H-M_alt 'P 1'
_space_group_IT_number 1
_cell_length_a 6.946
_cell_length_b 6.946
_cell_length_c 6.946
_cell_angle_alpha 132.83
_cell_angle_beta 132.83
_cell_angle_gamma 68.92
loop_
_space_group_symop_operation_xyz
'x,y,z'
loop_
_atom_site_label
_atom_site_type_symbol
_atom_site_fract_x
_atom_site_fract_y
_atom_site_fract_z
_atom_site_occupancy
K1 K 0.000 0.000 0.000 1
Ba1 Ba 0.250 0.750 0.500 1
Ba2 Ba 0.750 0.250 0.500 1
Cu1 Cu 0.397 0.397 0.000 1
Cu2 Cu 0.603 0.603 0.000 1
# DFT formation energy (eV per atom): 0.2425
# Fermi-level density of states (states/eV/cell): 3.5

5.
# meta-GGA SCAN KBa3Cu, single point on PBEsol structure
data_KBa3Cu
_chemical_formula_sum 'K1 Ba3 Cu1'
_space_group_name_H-M_alt 'P 1'
_space_group_IT_number 1
_cell_length_a 6.390
_cell_length_b 6.390
_cell_length_c 6.390
_cell_angle_alpha 90.00
_cell_angle_beta 90.00
_cell_angle_gamma 90.00
loop_
_space_group_symop_operation_xyz
'x,y,z'
loop_
_atom_site_label
_atom_site_type_symbol
_atom_site_fract_x
_atom_site_fract_y
_atom_site_fract_z
_atom_site_occupancy
K1 K 0.000 0.000 0.000 1
Ba1 Ba 0.000 0.500 0.500 1
Ba2 Ba 0.500 0.000 0.500 1
Ba3 Ba 0.500 0.500 0.000 1
Cu1 Cu 0.500 0.500 0.500 1
# DFT formation energy (eV per atom): 0.0597
# Polymorph energy (0 for the lowest one) (meV per atom): 0
# Fermi-level density of states (states/eV/cell): 4.2

6.
# meta-GGA SCAN KBaCu2, single point on PBEsol structure
data_KBaCu2
_chemical_formula_sum 'K1 Ba1 Cu2'
_space_group_name_H-M_alt 'P 1'
_space_group_IT_number 1
_cell_length_a 3.489
_cell_length_b 3.489
_cell_length_c 9.337
_cell_angle_alpha 90.00
_cell_angle_beta 90.00
_cell_angle_gamma 90.00
loop_
_space_group_symop_operation_xyz
'x,y,z'
loop_
_atom_site_label
_atom_site_type_symbol
_atom_site_fract_x
_atom_site_fract_y
_atom_site_fract_z
_atom_site_occupancy
K1 K 0.000 0.000 0.000 1
Ba1 Ba 0.500 0.500 0.432 1
Cu1 Cu 0.000 0.000 0.675 1
Cu2 Cu 0.500 0.500 0.738 1
# DFT formation energy (eV per atom): 0.3373
# Polymorph energy (0 for the lowest one) (meV per atom): 0
# Fermi-level density of states (states/eV/cell): 2.8